1.
Here is a geometry-optimized Pu3NpSc2Se6 structure from Alexandria via LeMat-Bulk. Energies are from PBE.

```
12
Lattice="-2.7296 -2.6067 -1.3334 0.4171 -4.0532 7.0697 -5.0053 7.3081 1.9680" Properties=species:S:1:pos:R:3 pbc="T T T"
Se -3.4711 0.3306 0.4508
Se -3.8467 0.3176 7.2535
Se 0.0329 -0.9555 1.8005
Se -7.3507 1.6037 5.9038
Se -4.0032 2.2031 3.8879
Se -3.3146 -1.5549 3.8164
Pu -1.1562 -3.3299 2.8681
Pu -1.7445 -1.3953 6.2988
Pu -5.5733 2.0435 1.4055
Sc -1.9676 0.6531 2.7511
Sc -5.3502 -0.0049 4.9531
Np -1.3648 -1.3034 -0.6667
```

Properties
ΔE_f (raw), meV per atom: -1458

=====

2.
Here is a geometry-optimized Pu2Np2Se7 structure from Alexandria via LeMat-Bulk. Energies are from PBE.

```
22
Lattice="0.3526 -8.2734 4.9064 8.3192 -4.7762 0.7896 4.5462 -0.3790 8.4755" Properties=species:S:1:pos:R:3 pbc="T T T"
Se 7.6911 -10.0377 6.3567
Se 0.3301 -4.0984 2.5068
Se 6.2789 -2.6159 4.5790
Se 5.7119 -7.7310 10.3886
Se 4.2852 -6.3691 2.8821
Se 5.5269 -3.3909 7.8148
Se 3.3270 -7.5322 5.9425
Se 9.8910 -5.8965 8.2290
Se 6.6090 -6.7143 7.0857
Se 9.9135 -10.0715 10.6286
Se 2.4914 -4.2786 6.5362
Se 2.3238 -0.3452 4.2036
Se 4.1176 -2.4358 0.5495
Se 7.5062 -5.6976 3.7829
Np 8.2613 -8.3929 8.8572
Np 5.9882 -8.2034 4.6194
Np 4.1016 -6.0048 8.4624
Np 8.0850 -4.2562 6.4040
Pu 1.8285 -5.8153 4.2246
Pu 1.6523 -1.6786 1.7714
Pu 3.9253 -1.8681 6.0092
Pu 5.8119 -4.0667 2.1662
```

Properties
ΔE_f (raw), meV per atom: -1098

=====

3.
Here is a geometry-optimized Pu2Np2Se7 structure from Alexandria via LeMat-Bulk. Energies are from PBE.

```
11
Lattice="4.8362 0.0000 0.0000 0.0000 4.8362 0.0000 0.0000 0.0000 13.5604" Properties=species:S:1:pos:R:3 pbc="T T T"
Np 2.4181 0.0000 5.1168
Np 0.0000 2.4181 8.4436
Se 2.4181 2.4181 10.0767
Se 0.0000 0.0000 10.2809
Se 0.0000 0.0000 6.7802
Se 0.0000 0.0000 3.2795
Se 2.4181 2.4181 0.0000
Se 2.4181 2.4181 6.7802
Se 2.4181 2.4181 3.4838
Pu 2.4181 0.0000 11.7221
Pu 0.0000 2.4181 1.8383
```

Properties
ΔE_f (raw), meV per atom: -1099

=====

> What is the ΔE_f (raw) in the second record?

-1098 meV per atom